# 1
Material: Ag2PtAu
Method: DFT, PBEsol
State: optimized geometry

a b c (Å): 2.9751 4.6521 4.6774
angles (deg): 90.00 90.00 90.00
With the nearest neighbours (Å) after each atom.
Space group Pmmm (No. 47)
Unique sites:
Ag1 0.0000 0.0000 0.0000 x1  6 Ag 2.76-2.98, 4 Au 2.77
Ag2 0.5000 0.5000 0.0000 x1  6 Ag 2.76-2.98, 4 Pt 2.77
Pt1 0.0000 0.5000 0.5000 x1  4 Au 2.76, 4 Ag 2.77, 2 Pt 2.98
Au1 0.5000 0.0000 0.5000 x1  4 Pt 2.76, 4 Ag 2.77, 2 Au 2.98

Values from the calculation:
Fermi-level density of states   1.412 states/eV/cell
Formation enthalpy at 0 K   0.01 eV/atom
ΔE to the lowest computed polymorph   0.049 eV per atom



# 2
Material: TaMnPt2Cl
Method: DFT, PBEsol
State: optimized geometry

a b c (Å): 4.7897 4.7897 5.0038
angles (deg): 90.00 90.00 90.00
With the nearest neighbours (Å) after each atom.
Space group P4/mmm (No. 123)
Unique sites:
Ta1 0.0000 0.0000 0.0000 x1  4 Pt 2.39, 2 Mn 2.50
Mn1 0.0000 0.0000 0.5000 x1  2 Ta 2.50
Pt1 0.0000 0.5000 0.0000 x2  2 Ta 2.39
Cl1 0.5000 0.5000 0.5000 x1  4 Mn 3.39, 8 Pt 3.46

Values from the calculation:
Fermi-level density of states   4.325 states/eV/cell
Formation energy without anion corrections   1.30 eV per atom



# 3
Material: CsRbMn2B
Method: DFT, PBEsol
State: optimized geometry

a b c (Å): 5.7014 5.7014 6.5018
angles (deg): 90.00 90.00 90.00
With the nearest neighbours (Å) after each atom.
Space group P4/mmm (No. 123)
Unique sites:
Cs1 0.0000 0.0000 0.0000 x1  4 Mn 2.85
Rb1 0.0000 0.0000 0.5000 x1  2 Cs 3.25
Mn1 0.0000 0.5000 0.0000 x2  2 Cs 2.85
B1 0.5000 0.5000 0.5000 x1  4 Rb 4.03, 8 Mn 4.32

Values from the calculation:
Fermi-level density of states   6.063 states/eV/cell
Formation enthalpy at 0 K   2.78 eV/atom



# 4
Material: Li2NiP2O7
Method: DFT, PBEsol
State: optimized geometry

a b c (Å): 4.9341 6.7288 8.1570
angles (deg): 67.07 88.02 88.33
With the nearest neighbours (Å) after each atom.
Space group P-1 (No. 2)
Unique sites:
Li1 0.2099 0.1649 0.0026 x2  4 O 1.90-2.04
Li2 0.2708 0.1976 0.4383 x2  3 O 2.00-2.02
Ni1 0.2599 0.7792 0.2784 x2  6 O 1.99-2.20
P1 0.2173 0.5419 0.6911 x2  4 O 1.52-1.63
P2 0.2758 0.8828 0.8225 x2  4 O 1.53-1.61
O1 0.0819 0.4883 0.3347 x2  1 P 1.53
O2 0.0959 0.0407 0.6782 x2  1 P 1.53
O3 0.1974 0.8735 0.0082 x2  1 P 1.53
O4 0.2123 0.6409 0.8441 x2  2 P 1.61-1.63
O5 0.3599 0.7109 0.5296 x2  1 P 1.53
O6 0.3749 0.3305 0.7778 x2  1 P 1.52
O7 0.4184 0.0851 0.2222 x2  1 P 1.54

Values from the calculation:
ΔE to the lowest computed polymorph   0.025 eV per atom
Formation energy without anion corrections   -2.01 eV per atom



# 5
Material: LiCd2Pt
Method: DFT, PBEsol
State: optimized geometry

a b c (Å): 4.1754 4.1754 3.8185
angles (deg): 90.00 90.00 90.00
With the nearest neighbours (Å) after each atom.
Space group P4/mmm (No. 123)
Unique sites:
Li1 0.0000 0.0000 0.0000 x1  8 Cd 2.83, 4 Pt 2.95
Cd1 0.0000 0.5000 0.5000 x2  4 Pt 2.83, 4 Li 2.83, 4 Cd 2.95
Pt1 0.5000 0.5000 0.0000 x1  8 Cd 2.83, 4 Li 2.95

Values from the calculation:
Fermi-level density of states   1.361 states/eV/cell
Formation enthalpy at 0 K   -0.36 eV/atom
ΔE to the lowest computed polymorph   0.062 eV per atom



# 6
Material: Rb3BaIr
Method: DFT, PBEsol
State: optimized geometry

a b c (Å): 6.4016 6.4016 6.4016
angles (deg): 90.00 90.00 90.00
With the nearest neighbours (Å) after each atom.
Space group Pm-3m (No. 221)
Unique sites:
Rb1 0.0000 0.0000 0.5000 x3  2 Ir 3.20
Ba1 0.5000 0.5000 0.5000 x1  12 Rb 4.53
Ir1 0.0000 0.0000 0.0000 x1  6 Rb 3.20

Values from the calculation:
Fermi-level density of states   5.452 states/eV/cell
Formation enthalpy at 0 K   0.88 eV/atom



# 7
Material: CsAgOF2
Method: DFT, PBEsol
State: optimized geometry

a b c (Å): 4.5697 4.5697 3.9374
angles (deg): 90.00 90.00 90.00
With the nearest neighbours (Å) after each atom.
Space group P4/mmm (No. 123)
Unique sites:
Cs1 0.0000 0.0000 0.0000 x1  8 F 3.02, 4 O 3.23
Ag1 0.5000 0.5000 0.5000 x1  2 O 1.97
O1 0.5000 0.5000 0.0000 x1  2 Ag 1.97
F1 0.0000 0.5000 0.5000 x2  2 Ag 2.28

Values from the calculation:
Fermi-level density of states   2.340 states/eV/cell
Formation energy without anion corrections   -1.31 eV per atom



# 8
Material: InRh2Se
Method: DFT, PBEsol
State: optimized geometry

a b c (Å): 3.7584 3.7584 9.1191
angles (deg): 90.00 90.00 90.00
With the nearest neighbours (Å) after each atom.
Space group I-4m2 (No. 119)
Unique sites:
In1 0.0000 0.0000 0.0000 x2  8 Rh 2.66-2.95, 4 Se 2.95
Rh1 0.0000 0.0000 0.5000 x2  4 In 2.66, 4 Se 2.95, 4 Rh 2.95
Rh2 0.0000 0.5000 0.2500 x2  4 Se 2.66, 4 In 2.95, 4 Rh 2.95
Se1 0.0000 0.5000 0.7500 x2  8 Rh 2.66-2.95, 4 In 2.95

Values from the calculation:
Fermi-level density of states   6.427 states/eV/cell
Formation energy without anion corrections   0.00 eV per atom



# 9
Material: Sr2CaAu
Method: DFT, PBEsol
State: optimized geometry

a b c (Å): 3.8032 3.8032 9.8060
angles (deg): 90.00 90.00 90.00
With the nearest neighbours (Å) after each atom.
Space group P4mm (No. 99)
Unique sites:
Sr1 0.0000 0.0000 0.0000 x1  4 Sr 3.80, 4 Ca 4.06
Sr2 0.5000 0.5000 0.3389 x1  4 Au 3.28, 1 Ca 3.44
Ca1 0.5000 0.5000 0.6893 x1  4 Au 3.11, 1 Sr 3.44
Au1 0.0000 0.0000 0.5300 x1  4 Ca 3.11, 4 Sr 3.28

Values from the calculation:
Fermi-level density of states   3.046 states/eV/cell
Formation enthalpy at 0 K   -0.36 eV/atom
ΔE to the lowest computed polymorph   0.000 eV per atom



# 10
Material: SiNi6W
Method: DFT, PBEsol
State: optimized geometry

a b c (Å): 7.0405 10.0060 10.0005
angles (deg): 90.00 90.00 90.00
With the nearest neighbours (Å) after each atom.
Space group Cmmm (No. 65)
Unique sites:
Si1 0.0000 0.0000 0.2446 x4  12 Ni 2.45-2.55
Si2 0.0000 0.2556 0.0000 x4  12 Ni 2.45-2.56
Ni1 0.0000 0.0000 0.0000 x2  4 Si 2.45-2.56, 8 Ni 2.48
Ni2 0.0000 0.0000 0.5000 x2  8 Ni 2.48, 2 Si 2.55, 2 W 2.56
Ni3 0.0000 0.2488 0.2484 x8  8 Ni 2.47-2.52, 2 Si 2.48-2.49, 2 W 2.51-2.52
Ni4 0.0000 0.5000 0.0000 x2  2 W 2.44, 2 Si 2.45, 8 Ni 2.50
Ni5 0.0000 0.5000 0.5000 x2  4 W 2.44-2.56, 8 Ni 2.52
Ni6 0.2462 0.1240 0.3728 x16  8 Ni 2.47-2.54, 1 Si 2.49, 3 W 2.50-2.53
Ni7 0.2481 0.1255 0.1233 x16  8 Ni 2.47-2.51, 3 Si 2.47-2.50, 1 W 2.49
W1 0.0000 0.2556 0.5000 x4  12 Ni 2.44-2.56
W2 0.0000 0.5000 0.2441 x4  12 Ni 2.44-2.56

Values from the calculation:
Fermi-level density of states   61.759 states/eV/cell
Formation energy without anion corrections   -0.24 eV per atom



# 11
Material: PmHo3
Method: DFT, PBEsol
State: optimized geometry

a b c (Å): 4.9193 4.9193 4.9193
angles (deg): 90.00 90.00 90.00
With the nearest neighbours (Å) after each atom.
Space group Pm-3m (No. 221)
Unique sites:
Pm1 0.0000 0.0000 0.0000 x1  12 Ho 3.48
Ho1 0.0000 0.5000 0.5000 x3  8 Ho 3.48, 4 Pm 3.48

Values from the calculation:
Fermi-level density of states   4.946 states/eV/cell
Formation enthalpy at 0 K   0.01 eV/atom
ΔE to the lowest computed polymorph   0.000 eV per atom



# 12
Material: TaVO4
Method: DFT, PBEsol
State: optimized geometry

a b c (Å): 6.6259 6.6259 5.9373
angles (deg): 90.00 90.00 90.00
With the nearest neighbours (Å) after each atom.
Space group I4_1md (No. 109)
Unique sites:
Ta1 0.0000 0.0000 0.0000 x4  6 O 1.96-2.02
V1 0.0000 0.0000 0.4847 x4  6 O 1.96-2.01
O1 0.0000 0.2954 0.4875 x8  1 Ta 1.96, 2 V 1.96-2.00
O2 0.0000 0.3016 0.9908 x8  2 Ta 2.00-2.02, 1 V 2.01

Values from the calculation:
Fermi-level density of states   7.810 states/eV/cell
Formation energy without anion corrections   -2.62 eV per atom



# 13
Material: Ag2Se
Method: DFT, PBEsol
State: optimized geometry

a b c (Å): 3.0020 5.8569 12.4363
angles (deg): 90.00 90.00 90.00
With the nearest neighbours (Å) after each atom.
Space group Immm (No. 71)
Unique sites:
Ag1 0.0000 0.0000 0.1578 x4  4 Se 2.73-2.93, 6 Ag 2.85-3.00
Ag2 0.0000 0.2568 0.5000 x4  8 Ag 2.85-3.01, 4 Se 2.90
Se1 0.0000 0.5000 0.1587 x4  8 Ag 2.73-2.93, 2 Se 3.00

Values from the calculation:
Fermi-level density of states   2.815 states/eV/cell
Formation energy without anion corrections   0.01 eV per atom



# 14
Material: Mg2ReTc
Method: DFT, PBEsol
State: optimized geometry

a b c (Å): 2.7794 2.7794 27.9963
angles (deg): 90.00 90.00 120.00
With the nearest neighbours (Å) after each atom.
Space group R-3m (No. 166, hexagonal axes)
Unique sites:
Mg1 0.0000 0.0000 0.2494 x6  6 Mg 2.78, 3 Tc 2.82, 3 Re 2.84
Re1 0.0000 0.0000 0.0000 x3  6 Re 2.78, 6 Mg 2.84
Tc1 0.0000 0.0000 0.5000 x3  6 Tc 2.78, 6 Mg 2.82

Values from the calculation:
Fermi-level density of states   9.358 states/eV/cell
Formation enthalpy at 0 K   0.39 eV/atom
ΔE to the lowest computed polymorph   0.339 eV per atom



# 15
Material: ZnB3Sb
Method: DFT, PBEsol
State: optimized geometry

a b c (Å): 4.4622 4.4622 4.4622
angles (deg): 90.00 90.00 90.00
With the nearest neighbours (Å) after each atom.
Space group Pm-3m (No. 221)
Unique sites:
Zn1 0.0000 0.0000 0.0000 x1  12 B 3.16
B1 0.0000 0.5000 0.5000 x3  2 Sb 2.23
Sb1 0.5000 0.5000 0.5000 x1  6 B 2.23

Values from the calculation:
Fermi-level density of states   2.489 states/eV/cell
Formation energy without anion corrections   2.24 eV per atom



# 16
Material: BeTl2Pb
Method: DFT, PBEsol
State: optimized geometry

a b c (Å): 4.3084 5.2156 8.5385
angles (deg): 90.00 90.00 90.00
With the nearest neighbours (Å) after each atom.
Space group Cmm2 (No. 35)
Unique sites:
Be1 0.0000 0.0000 0.0000 x2  2 Tl 2.70, 2 Pb 2.75
Tl1 0.0000 0.0000 0.5148 x2  8 Tl 3.31-3.62, 2 Pb 3.45
Tl2 0.0000 0.5000 0.8093 x2  2 Be 2.70
Pb1 0.0000 0.5000 0.1993 x2  2 Be 2.75

Values from the calculation:
Fermi-level density of states   3.440 states/eV/cell
Formation enthalpy at 0 K   0.35 eV/atom
ΔE to the lowest computed polymorph   0.000 eV per atom



# 17
Material: CaLaRu
Method: DFT, PBEsol
State: optimized geometry

a b c (Å): 4.1638 4.1638 6.0338
angles (deg): 90.00 90.00 120.00
With the nearest neighbours (Å) after each atom.
Space group P3m1 (No. 156)
Unique sites:
Ca1 0.0000 0.0000 0.0000 x1  3 Ru 3.00
La1 0.3333 0.6667 0.4566 x1  3 Ru 2.59
Ru1 0.6667 0.3333 0.2967 x1  3 La 2.59

Values from the calculation:
Fermi-level density of states   1.706 states/eV/cell
Formation enthalpy at 0 K   0.11 eV/atom
ΔE to the lowest computed polymorph   0.101 eV per atom



# 18
Material: Sm2Ti2O7
Method: DFT, PBEsol
State: optimized geometry

a b c (Å): 10.1898 10.1898 10.1898
angles (deg): 90.00 90.00 90.00
With the nearest neighbours (Å) after each atom.
Space group Fd-3m (No. 227, origin choice 2)
Unique sites:
Sm1 0.0000 0.0000 0.0000 x16  2 O 2.21
Ti1 0.0000 0.0000 0.5000 x16  6 O 1.97
O1 0.0776 0.3750 0.8750 x48  2 Ti 1.97
O2 0.1250 0.1250 0.1250 x8  4 Sm 2.21

Values from the calculation:
Fermi-level density of states   0.000 states/eV/cell
Formation energy without anion corrections   -3.33 eV per atom



# 19
Material: CsLiB6O10
Method: DFT, PBEsol
State: optimized geometry

a b c (Å): 10.4245 10.4245 9.0003
angles (deg): 90.00 90.00 90.00
With the nearest neighbours (Å) after each atom.
Space group I-42d (No. 122)
Unique sites:
Cs1 0.0000 0.0000 0.0000 x4  8 O 3.13-3.50
Li1 0.0000 0.0000 0.5000 x4  4 O 1.96
B1 0.0261 0.2500 0.6250 x8  4 O 1.47-1.48
B2 0.1493 0.7364 0.8088 x16  3 O 1.36-1.40
O1 0.0555 0.6938 0.5080 x16  2 B 1.36-1.48
O2 0.1055 0.1454 0.5659 x16  2 B 1.37-1.47
O3 0.1957 0.2500 0.1250 x8  2 B 1.40

Values from the calculation:
Fermi-level density of states   0.000 states/eV/cell
Formation energy without anion corrections   -2.47 eV per atom



# 20
Material: YMgAl4
Method: DFT, PBEsol
State: optimized geometry

a b c (Å): 7.7389 7.7389 7.7389
angles (deg): 90.00 90.00 90.00
With the nearest neighbours (Å) after each atom.
Space group F-43m (No. 216)
Unique sites:
Y1 0.0000 0.0000 0.0000 x4  12 Al 3.21, 4 Mg 3.35
Mg1 0.2500 0.2500 0.7500 x4  12 Al 3.21, 4 Y 3.35
Al1 0.1250 0.1250 0.3750 x16  6 Al 2.74

Values from the calculation:
Fermi-level density of states   13.719 states/eV/cell
Formation enthalpy at 0 K   -0.25 eV/atom
ΔE to the lowest computed polymorph   0.025 eV per atom



# 21
Material: La2YPb
Method: DFT, PBEsol
State: optimized geometry

a b c (Å): 4.7945 4.7945 10.4395
angles (deg): 90.00 90.00 90.00
With the nearest neighbours (Å) after each atom.
Space group I4/mmm (No. 139)
Unique sites:
La1 0.0000 0.5000 0.2500 x4  4 La 3.39, 4 Pb 3.54, 4 Y 3.54
Y1 0.0000 0.0000 0.0000 x2  4 Pb 3.39, 8 La 3.54
Pb1 0.0000 0.0000 0.5000 x2  4 Y 3.39, 8 La 3.54

Values from the calculation:
Fermi-level density of states   10.523 states/eV/cell
Formation enthalpy at 0 K   -0.34 eV/atom



# 22
Material: BaSc3In
Method: DFT, PBEsol
State: optimized geometry

a b c (Å): 5.2239 5.2239 5.2239
angles (deg): 90.00 90.00 90.00
With the nearest neighbours (Å) after each atom.
Space group Pm-3m (No. 221)
Unique sites:
Ba1 0.0000 0.0000 0.0000 x1  6 Sc 2.61
Sc1 0.0000 0.0000 0.5000 x3  2 Ba 2.61
In1 0.5000 0.5000 0.5000 x1  12 Sc 3.69

Values from the calculation:
Fermi-level density of states   5.668 states/eV/cell
Formation enthalpy at 0 K   1.06 eV/atom



# 23
Material: TlAg2Au2
Method: DFT, PBEsol
State: optimized geometry

a b c (Å): 3.8591 3.8591 13.5630
angles (deg): 90.00 90.00 90.00
With the nearest neighbours (Å) after each atom.
Space group I4/mmm (No. 139)
Unique sites:
Tl1 0.0000 0.0000 0.0000 x2  8 Ag 3.05
Ag1 0.0000 0.0000 0.4002 x4  1 Ag 2.71, 4 Au 2.81
Au1 0.0000 0.5000 0.2500 x4  4 Au 2.73, 4 Ag 2.81

Values from the calculation:
Fermi-level density of states   2.774 states/eV/cell
Formation enthalpy at 0 K   0.11 eV/atom
ΔE to the lowest computed polymorph   0.076 eV per atom